[1]
Computed, not measured: AcTlCdPb after structural relaxation at the PBE level of DFT.

a = 7.944 Å, b = 7.944 Å, c = 7.944 Å
α = 90.00°, β = 90.00°, γ = 90.00°
Space group F-43m (No. 216)
Symmetry-distinct sites (fractional):
Ac  0.000  0.000  0.000
Tl  0.250  0.250  0.250
Cd  0.250  0.250  0.750
Pb  0.000  0.000  0.500

Computed properties:
Its relative energy among the computed polymorphs is 98 meV per atom. The formation energy is -0.240 eV per atom.



[2]
Computed, not measured: Th4In2O after structural relaxation at the PBE level of DFT.

a = 4.775 Å, b = 4.775 Å, c = 17.273 Å
α = 90.00°, β = 90.00°, γ = 90.00°
Space group I4/mmm (No. 139)
Symmetry-distinct sites (fractional):
Th  0.000  0.000  0.175
Th  0.000  0.500  0.000
In  0.000  0.000  0.361
O  0.000  0.000  0.000

Computed properties:
The value obtained for the formation energy without anion corrections is -5.572 eV/f.u.



[3]
Computed, not measured: LiReAs2 after structural relaxation at the PBE level of DFT.

a = 3.066 Å, b = 3.066 Å, c = 7.017 Å
α = 90.00°, β = 90.00°, γ = 90.00°
Space group P4/mmm (No. 123)
Symmetry-distinct sites (fractional):
Li  0.000  0.000  0.000
Re  0.000  0.000  0.500
As  0.500  0.500  0.282

Computed properties:
Its relative energy among the computed polymorphs is 1 meV per atom. The formation energy is -0.187 eV per atom.



[4]
Computed, not measured: FeSeBr2 after structural relaxation at the PBE level of DFT.

a = 4.886 Å, b = 3.449 Å, c = 7.527 Å
α = 90.00°, β = 108.79°, γ = 90.00°
Space group P2/m (No. 10)
Symmetry-distinct sites (fractional):
Fe  0.000  0.000  0.000
Se  0.500  0.000  0.000
Br  0.128  0.500  0.258

Computed properties:
Its relative energy among the computed polymorphs is 119 meV per atom. The value obtained for the formation energy without anion corrections is -0.316 eV/f.u.



[5]
Computed, not measured: La2SmTh3Sb6 after structural relaxation at the PBE level of DFT.

a = 19.801 Å, b = 4.537 Å, c = 9.074 Å
α = 90.00°, β = 103.45°, γ = 90.00°
Space group C2/m (No. 12)
Symmetry-distinct sites (fractional):
La  0.166  0.000  0.332
Sm  0.000  0.500  0.000
Th  0.000  0.500  0.500
Th  0.168  0.000  0.834
Sb  0.002  0.000  0.752
Sb  0.165  0.500  0.587
Sb  0.166  0.500  0.079

Computed properties:
The value obtained for the formation energy without anion corrections is -13.064 eV/f.u.



[6]
Computed, not measured: BeSi2Ru after structural relaxation at the PBE level of DFT.

a = 4.861 Å, b = 7.014 Å, c = 2.865 Å
α = 90.00°, β = 90.23°, γ = 90.00°
Space group C2/m (No. 12)
Symmetry-distinct sites (fractional):
Be  0.000  0.000  0.000
Si  0.250  0.250  0.500
Ru  0.000  0.500  0.000

Computed properties:
The value obtained for the formation energy without anion corrections is -0.249 eV/f.u.



[7]
Computed, not measured: BaAlFeP after structural relaxation at the PBE level of DFT.

a = 3.851 Å, b = 3.851 Å, c = 12.230 Å
α = 90.00°, β = 90.00°, γ = 90.00°
Space group P4/nmm (No. 129, origin choice 2)
Symmetry-distinct sites (fractional):
Ba  0.250  0.250  0.239
Al  0.250  0.750  0.500
Fe  0.250  0.750  0.000
P  0.250  0.250  0.910

Computed properties:
The formation energy is -0.501 eV per atom.



[8]
Computed, not measured: NaDyZn17 after structural relaxation at the PBE level of DFT.

a = 9.0063 Å, b = 9.0063 Å, c = 13.1955 Å
α = 90.00°, β = 90.00°, γ = 120.00°
Space group R3m (No. 160, hexagonal axes)
Symmetry-distinct sites (fractional):
Na  0.0000  0.0000  0.0000
Dy  0.0000  0.0000  0.3223
Zn  0.0000  0.0000  0.5583
Zn  0.0000  0.0000  0.7599
Zn  0.0018  0.3002  0.6582
Zn  0.0036  0.5018  0.1569
Zn  0.0070  0.5035  0.8114
Zn  0.1718  0.3437  0.8391

Computed properties:
The formation energy is -0.130 eV per atom.



[9]
Computed, not measured: MgOs2Pb after structural relaxation at the PBE level of DFT.

a = 7.604 Å, b = 7.604 Å, c = 5.302 Å
α = 90.00°, β = 90.00°, γ = 90.00°
Space group I-42d (No. 122)
Symmetry-distinct sites (fractional):
Mg  0.000  0.000  0.000
Os  0.250  0.250  0.125
Pb  0.000  0.000  0.500

Computed properties:
The formation energy is 1.229 eV per atom.



[10]
Computed, not measured: Cs2SrPb2S4 after structural relaxation at the PBE level of DFT.

a = 18.876 Å, b = 4.262 Å, c = 8.867 Å
α = 90.00°, β = 117.89°, γ = 90.00°
Space group C2/m (No. 12)
Symmetry-distinct sites (fractional):
Cs  0.119  0.000  0.040
Sr  0.000  0.000  0.500
Pb  0.180  0.500  0.529
S  0.030  0.500  0.291
S  0.179  0.000  0.725

Computed properties:
The value obtained for the formation energy without anion corrections is -9.760 eV/f.u.



[11]
Computed, not measured: PRuSeCl2 after structural relaxation at the PBE level of DFT.

a = 4.711 Å, b = 4.711 Å, c = 4.671 Å
α = 90.00°, β = 90.00°, γ = 90.00°
Space group P4/mmm (No. 123)
Symmetry-distinct sites (fractional):
P  0.000  0.000  0.000
Ru  0.000  0.000  0.500
Se  0.500  0.500  0.000
Cl  0.000  0.500  0.500

Computed properties:
Its relative energy among the computed polymorphs is 0 meV per atom. The value obtained for the formation energy without anion corrections is 2.050 eV/f.u.



[12]
Computed, not measured: Li2BrCl after structural relaxation at the PBE level of DFT.

a = 13.943 Å, b = 3.650 Å, c = 3.666 Å
α = 90.00°, β = 90.09°, γ = 90.00°
Space group Cm (No. 8)
Symmetry-distinct sites (fractional):
Li  0.000  0.000  0.000
Li  0.160  0.500  0.500
Br  0.468  0.000  0.499
Cl  0.175  0.000  0.000

Computed properties:
Its relative energy among the computed polymorphs is 58 meV per atom. The value obtained for the formation energy without anion corrections is -6.497 eV/f.u.